Entry from the Alexandria database: an optimized crystal structure of Rb2InTe3 (PBE).

- energy (eV per atom) = -2.879
- calculated volume (Å³/cell) = 740.2
- space-group type = No. 164
- uncorrected formation energy (eV/atom) = -0.5296
- crystal system = trigonal

Lattice parameters (Å, degrees): 8.3094 8.3094 12.3784 90.00 90.00 120.00
Positions (direct):
1 Rb 0.0000 0.0000 0.0000
2 Rb 0.3333 0.6667 0.7492
3 Rb 0.0000 0.0000 0.5000
4 Rb 0.6667 0.3333 0.2508
5 Te 0.8560 0.7120 0.7496
6 Te 0.1440 0.2880 0.2504
7 Te 0.1440 0.8560 0.2504
8 Te 0.2880 0.1440 0.7496
9 Te 0.7120 0.8560 0.2504
10 Te 0.8560 0.1440 0.7496
11 In 0.3333 0.6667 0.2505
12 In 0.6667 0.3333 0.7495